DFT (PBE with a Hubbard U) results for a relaxed structure of LiY2CoO6.

- Magnetic moment: 0.206 μB/atom
- Calculated volume: 10.84 Å³ per atom
- Calculated total energy: -144.9 eV/cell

```
LiY2CoO6
1.0
5.2212 0.0000 0.0221
0.0000 5.6008 0.0000
0.0762 0.0000 7.4145
O Y Li Co
12 4 2 2
Direct
0.5998 0.0299 0.2587
0.0998 0.4701 0.7587
0.4002 0.9701 0.7413
0.7053 0.3183 0.9518
0.6727 0.2834 0.5531
0.2947 0.6817 0.0482
0.1727 0.2166 0.0531
0.3273 0.7166 0.4469
0.9002 0.5299 0.2413
0.2053 0.1817 0.4518
0.7947 0.8183 0.5482
0.8273 0.7834 0.9469
0.5195 0.5786 0.7531
0.4805 0.4214 0.2469
0.9805 0.0786 0.7469
0.0195 0.9214 0.2531
0.0000 0.5000 0.5000
0.5000 0.0000 0.0000
0.5000 0.0000 0.5000
0.0000 0.5000 0.0000
```